Entry 1:
La2CuSe4 | PBE | relaxed

```
La2CuSe4
1.0
7.1927 0.0000 0.0000
0.0000 5.9860 0.0000
-2.5329 0.0000 8.1562
La Cu Se
4 2 8
Direct
0.2307 0.2500 0.4304
0.2387 0.2500 0.9366
0.7613 0.7500 0.0634
0.7693 0.7500 0.5696
0.2419 0.7500 0.1871
0.7581 0.2500 0.8129
0.0711 0.7500 0.3905
0.0784 0.7500 0.8970
0.4880 0.5092 0.7429
0.4880 0.9908 0.7429
0.5120 0.0092 0.2571
0.5120 0.4908 0.2571
0.9216 0.2500 0.1030
0.9289 0.2500 0.6095
```

Space-group type: No. 11

---

Entry 2:
La6CuSe5 | PBE | relaxed

```
La6CuSe5
1.0
3.7440 -6.4725 0.0000
3.7440 6.4725 0.0000
-2.5004 0.0000 7.0385
La Cu Se
6 1 5
Direct
0.0821 0.4146 0.7483
0.2485 0.2485 0.2495
0.4146 0.0821 0.7483
0.5854 0.9179 0.2517
0.7515 0.7515 0.7505
0.9179 0.5854 0.2517
0.0000 0.0000 0.5000
0.1690 0.8310 0.0000
0.3343 0.6657 0.5000
0.5000 0.5000 0.0000
0.6657 0.3343 0.5000
0.8310 0.1690 0.0000
```

Space-group type: No. 12

---

no.,ΔE_f (raw) (eV per atom)
1,-1.5145
2,-1.6760